# 1
VASP calculation (PBE) on a geometry-optimized SrLi2RhN structure.

Results
Uncorrected formation energy (eV/f.u.): 6.59
Final energy (eV/atom): -2.920
Density (Mg/m³): 3.09

a = 5.3638 Å, b = 5.3638 Å, c = 4.0768 Å
α = 90.00°, β = 90.00°, γ = 90.00°
Fractional positions:
Sr: 0.0000 0.0000 0.0000
Li: 0.0000 0.5000 0.0000
Li: 0.5000 0.0000 0.0000
Rh: 0.5000 0.5000 0.5000
N: 0.0000 0.0000 0.5000

=====

# 2
VASP calculation (PBE) on a geometry-optimized LiTa2RhN structure.

Results
Uncorrected formation energy (eV/f.u.): -2.93
Final energy (eV/atom): -8.844
Density (Mg/m³): 12.01

a = 4.2339 Å, b = 4.2339 Å, c = 3.7478 Å
α = 90.00°, β = 90.00°, γ = 90.00°
Fractional positions:
Li: 0.0000 0.0000 0.0000
Ta: 0.0000 0.5000 0.5000
Ta: 0.5000 0.0000 0.5000
Rh: 0.5000 0.5000 0.0000
N: 0.0000 0.0000 0.5000

=====

# 3
VASP calculation (PBE) on a geometry-optimized LiTc2RhN structure.

Results
Uncorrected formation energy (eV/f.u.): -0.18
Final energy (eV/atom): -7.700
Density (Mg/m³): 8.47

a = 3.9573 Å, b = 3.9573 Å, c = 4.0044 Å
α = 90.00°, β = 90.00°, γ = 90.00°
Fractional positions:
Li: 0.0000 0.0000 0.0000
Tc: 0.0000 0.5000 0.5000
Tc: 0.5000 0.0000 0.5000
Rh: 0.5000 0.5000 0.0000
N: 0.0000 0.0000 0.5000

=====

# 4
VASP calculation (PBE) on a geometry-optimized LiTeRhN2 structure.

Results
Uncorrected formation energy (eV/f.u.): 8.35
Final energy (eV/atom): -4.142
Density (Mg/m³): 6.18
Polymorph energy (0 for the lowest one) (meV/atom): 957

a = 3.7668 Å, b = 3.7668 Å, c = 5.0240 Å
α = 90.00°, β = 90.00°, γ = 90.00°
Fractional positions:
Li: 0.0000 0.0000 0.0000
Te: 0.0000 0.0000 0.5000
Rh: 0.5000 0.5000 0.5000
N: 0.0000 0.5000 0.0000
N: 0.5000 0.0000 0.0000

=====

# 5
VASP calculation (PBE) on a geometry-optimized LiTe2RhN structure.

Results
Uncorrected formation energy (eV/f.u.): 0.41
Final energy (eV/atom): -4.693
Density (Mg/m³): 5.50
Polymorph energy (0 for the lowest one) (meV/atom): 0

a = 5.6287 Å, b = 5.6287 Å, c = 3.6126 Å
α = 90.00°, β = 90.00°, γ = 90.00°
Fractional positions:
Li: 0.0000 0.0000 0.0000
Te: 0.0000 0.5000 0.5000
Te: 0.5000 0.0000 0.5000
Rh: 0.5000 0.5000 0.5000
N: 0.5000 0.5000 0.0000

=====

# 6
VASP calculation (PBE) on a geometry-optimized Li2TeRhN structure.

Results
Uncorrected formation energy (eV/f.u.): -1.85
Final energy (eV/atom): -4.900
Density (Mg/m³): 5.94

a = 4.3134 Å, b = 4.3134 Å, c = 3.8806 Å
α = 90.00°, β = 90.00°, γ = 90.00°
Fractional positions:
Li: 0.0000 0.5000 0.0000
Li: 0.5000 0.0000 0.0000
Te: 0.0000 0.0000 0.5000
Rh: 0.5000 0.5000 0.5000
N: 0.5000 0.5000 0.0000